1.
A plane-wave DFT calculation with GGA-PBE was carried out for a geometry-optimized Sr4Ca2Bi3H2 structure.

Lattice parameters (Å, degrees): 5.1278 5.1278 26.1422 90.00 90.00 90.00
With the nearest neighbours (Å) after each atom.
Space group I4/mmm (No. 139)
Symmetry-distinct sites (fractional):
1 Sr 0.0000 0.5000 0.0849 x8  2 H 2.62
2 Ca 0.0000 0.0000 0.2004 x4  1 H 2.50
3 Bi 0.0000 0.0000 0.3225 x4  1 Ca 3.19, 4 Sr 3.53
4 Bi 0.0000 0.0000 0.5000 x2  8 Sr 3.39
5 H 0.0000 0.0000 0.1048 x4  1 Ca 2.50, 4 Sr 2.62

Summary:
For the raw total energy, the calculation gives -73.59 eV for the cell shown. Its calculated volume is 687.4 Å³ per cell.

2.
A plane-wave DFT calculation with GGA-PBE was carried out for a geometry-optimized Ca2TaBiH structure.

Lattice parameters (Å, degrees): 6.1358 6.1358 5.3574 90.00 90.00 90.00
With the nearest neighbours (Å) after each atom.
Space group P4/mmm (No. 123)
Symmetry-distinct sites (fractional):
1 Ca 0.0000 0.5000 0.0000 x2  2 Bi 3.07
2 Ta 0.0000 0.0000 0.5000 x1  2 Bi 2.68
3 Bi 0.0000 0.0000 0.0000 x1  2 Ta 2.68
4 H 0.5000 0.5000 0.5000 x1  8 Ca 4.07, 4 Ta 4.34

Summary:
For the raw total energy, the calculation gives -17.40 eV for the cell shown. Its calculated volume is 201.7 Å³ per cell.

3.
A plane-wave DFT calculation with GGA-PBE was carried out for a geometry-optimized CaTlBi2H structure.

Lattice parameters (Å, degrees): 5.0480 5.0480 4.9784 90.00 90.00 90.00
With the nearest neighbours (Å) after each atom.
Space group P4/mmm (No. 123)
Symmetry-distinct sites (fractional):
1 Ca 0.0000 0.0000 0.0000 x1  2 H 2.49
2 Tl 0.5000 0.5000 0.0000 x1  8 Bi 3.54, 4 Ca 3.57
3 Bi 0.0000 0.5000 0.5000 x2  2 H 2.52
4 H 0.0000 0.0000 0.5000 x1  2 Ca 2.49, 4 Bi 2.52

Summary:
For the raw total energy, the calculation gives -16.21 eV for the cell shown. Its calculated volume is 126.9 Å³ per cell.

4.
A plane-wave DFT calculation with GGA-PBE was carried out for a geometry-optimized CaZnBiH structure.

Lattice parameters (Å, degrees): 4.4853 4.4853 31.0786 90.00 90.00 120.00
With the nearest neighbours (Å) after each atom.
Space group R-3m (No. 166, hexagonal axes)
Symmetry-distinct sites (fractional):
1 Ca 0.0000 0.0000 0.0000 x3  6 Bi 3.26
2 Ca 0.0000 0.0000 0.5000 x3  6 H 2.64
3 Zn 0.0000 0.0000 0.2377 x6  1 H 1.71
4 Bi 0.0000 0.0000 0.3973 x6  3 Zn 2.77
5 H 0.0000 0.0000 0.1827 x6  1 Zn 1.71

Summary:
For the raw total energy, the calculation gives -72.41 eV for the cell shown. Its calculated volume is 541.5 Å³ per cell.